Crystalline LiCu2NiH at its relaxed geometry, computed with PBE.

a b c (Å): 3.7835 3.7835 3.4457
angles (deg): 90.00 90.00 90.00
Atoms (fractional coordinates):
Li  0.0000  0.0000  0.0000
Cu  0.0000  0.5000  0.5000
Cu  0.5000  0.0000  0.5000
Ni  0.5000  0.5000  0.0000
H  0.5000  0.5000  0.5000

Computed properties:
* calculated total energy: -3.869 eV/atom
* total moment: 0.0 Bohr magnetons per cell
* DOS(E_F): 0.143 states/eV per atom

---

Crystalline Li4SiAg at its relaxed geometry, computed with PBE.

a b c (Å): 4.9585 4.9585 4.9585
angles (deg): 60.00 60.00 60.00
Atoms (fractional coordinates):
Li  0.1242  0.1242  0.1242
Li  0.1242  0.1242  0.6272
Li  0.1242  0.6272  0.1242
Li  0.6272  0.1242  0.1242
Si  0.7500  0.7500  0.7500
Ag  0.5000  0.5000  0.5000

Computed properties:
* calculated total energy: -2.634 eV/atom
* formation energy (no corrections): 0.021 eV/atom
* distance to the lowest polymorph of the same formula: 250 meV/atom
* total moment: 0.9 Bohr magnetons per cell
* DOS(E_F): 0.184 states/eV per atom

---

Q: What is the formula in the second record?
A: Li4SiAg